VASP calculation (PBE) on crystalline Rb3Cu2GeBr9 at its relaxed geometry.

Properties
uncorrected formation energy: -0.93 eV per atom

CIF file:
```
data_Rb3Cu2GeBr9
_chemical_formula_sum 'Rb3 Cu2 Ge1 Br9'
_symmetry_space_group_name_H-M 'P 1'
_symmetry_Int_Tables_number 1
_cell_length_a 7.4794
_cell_length_b 7.4794
_cell_length_c 9.2015
_cell_angle_alpha 90.00
_cell_angle_beta 90.00
_cell_angle_gamma 120.00
loop_
_symmetry_equiv_pos_as_xyz
'x,y,z'
loop_
_atom_site_label
_atom_site_type_symbol
_atom_site_fract_x
_atom_site_fract_y
_atom_site_fract_z
Rb1 Rb 0.0000 0.0000 0.0000
Rb2 Rb 0.3333 0.6667 0.6738
Rb3 Rb 0.6667 0.3333 0.3262
Cu1 Cu 0.3333 0.6667 0.1535
Cu2 Cu 0.6667 0.3333 0.8465
Ge1 Ge 0.0000 0.0000 0.5000
Br1 Br 0.0000 0.5000 0.0000
Br2 Br 0.1693 0.3386 0.3319
Br3 Br 0.1693 0.8307 0.3319
Br4 Br 0.3386 0.1693 0.6681
Br5 Br 0.5000 0.0000 0.0000
Br6 Br 0.5000 0.5000 0.0000
Br7 Br 0.6614 0.8307 0.3319
Br8 Br 0.8307 0.1693 0.6681
Br9 Br 0.8307 0.6614 0.6681
```